A relaxed CaAs crystal. Source: the Alexandria database, functional GGA-PBEsol.

Summary:
ΔH_f (0 K): -1097 meV/atom
electronic total energy: -4.72 eV/atom
total magnetization: 0.00 μB/cell
space-group type: P-62m, No. 189

```
CaAs
1.0
7.803 0.000 0.000
-3.902 6.758 0.000
0.000 0.000 5.831
Ca As
6 6
direct
0.000 0.350 0.000
0.000 0.682 0.500
0.318 0.318 0.500
0.350 0.000 0.000
0.650 0.650 0.000
0.682 0.000 0.500
0.000 0.000 0.215
0.000 0.000 0.785
0.333 0.667 0.279
0.333 0.667 0.721
0.667 0.333 0.279
0.667 0.333 0.721
```